The following is a GGA-PBE calculation of a relaxed ZnMo crystal, from the Alexandria database.

## Properties
As for the distance to the lowest polymorph of the same formula: 150 meV per atom. The value obtained for the size of the total moment is 0.000 Bohr magnetons per cell. The symmetry is No. 63. The calculation puts the energy of formation at 20.47 kJ per mole of atoms.

Cell lengths 5.6751, 5.6751, 3.5445 Å; angles 90.00, 90.00, 147.34 degrees
Last column: nearest neighbours and their distance in Å.
Fractional positions:
Zn (0.0711, 0.9289, 0.7500)  2 Zn 2.35
Zn (0.9289, 0.0711, 0.2500)  2 Zn 2.35
Mo (0.3154, 0.6846, 0.7500)  5 Zn 2.66-2.69, 4 Mo 2.78
Mo (0.6846, 0.3154, 0.2500)  5 Zn 2.66-2.69, 4 Mo 2.78

***

The following is a GGA-PBE calculation of a relaxed SrCeO crystal, from the Alexandria database.

## Properties
The calculation puts the energy relative to the elements, uncorrected at -1601.5 meV/atom. The value obtained for the size of the total moment is 3.928 Bohr magnetons per cell. The symmetry is No. 51.

Cell lengths 6.0373, 3.6360, 7.1845 Å; angles 90.00, 90.00, 90.00 degrees
Last column: nearest neighbours and their distance in Å.
Fractional positions:
Sr (0.2500, 0.0000, 0.1665)  2 O 2.83
Sr (0.7500, 0.0000, 0.8335)  2 O 2.83
Ce (0.2500, 0.5000, 0.6032)  4 O 2.48
Ce (0.7500, 0.5000, 0.3968)  4 O 2.48
O (0.0000, 0.0000, 0.5000)  4 Ce 2.48
O (0.5000, 0.0000, 0.5000)  4 Ce 2.48

***

The following is a GGA-PBE calculation of a relaxed Fe2AgBr crystal, from the Alexandria database.

## Properties
The calculation puts the energy relative to the elements, uncorrected at 713.2 meV/atom. As for the distance to the lowest polymorph of the same formula: 372 meV per atom. The value obtained for the size of the total moment is 6.190 Bohr magnetons per cell. The symmetry is No. 123.

Cell lengths 4.6270, 4.6270, 3.0916 Å; angles 90.00, 90.00, 90.00 degrees
Last column: nearest neighbours and their distance in Å.
Fractional positions:
Fe (0.0000, 0.5000, 0.0000)  4 Br 2.78, 4 Ag 2.78, 2 Fe 3.09
Fe (0.5000, 0.0000, 0.0000)  4 Br 2.78, 4 Ag 2.78, 2 Fe 3.09
Ag (0.0000, 0.0000, 0.5000)  8 Fe 2.78, 2 Ag 3.09
Br (0.5000, 0.5000, 0.5000)  8 Fe 2.78, 2 Br 3.09

***

The following is a GGA-PBE calculation of a relaxed Cr2BiRh2 crystal, from the Alexandria database.

## Properties
The value obtained for the size of the total moment is 10.669 Bohr magnetons per cell. The symmetry is No. 127. The calculation puts the energy of formation at 23.37 kJ per mole of atoms.

Cell lengths 7.4857, 7.4857, 2.9746 Å; angles 90.00, 90.00, 90.00 degrees
Last column: nearest neighbours and their distance in Å.
Fractional positions:
Cr (0.1594, 0.3406, 0.0000)  6 Rh 2.64-2.67
Cr (0.3406, 0.8406, 0.0000)  6 Rh 2.64-2.67
Cr (0.6594, 0.1594, 0.0000)  6 Rh 2.64-2.67
Cr (0.8406, 0.6594, 0.0000)  6 Rh 2.64-2.67
Bi (0.0000, 0.0000, 0.5000)  4 Rh 2.93, 2 Bi 2.97, 8 Cr 3.18
Bi (0.5000, 0.5000, 0.5000)  4 Rh 2.93, 2 Bi 2.97, 8 Cr 3.18
Rh (0.1310, 0.6310, 0.5000)  6 Cr 2.64-2.67, 1 Rh 2.77, 2 Bi 2.93
Rh (0.3690, 0.1310, 0.5000)  6 Cr 2.64-2.67, 1 Rh 2.77, 2 Bi 2.93
Rh (0.6310, 0.8690, 0.5000)  6 Cr 2.64-2.67, 1 Rh 2.77, 2 Bi 2.93
Rh (0.8690, 0.3690, 0.5000)  6 Cr 2.64-2.67, 1 Rh 2.77, 2 Bi 2.93

***

The following is a GGA-PBE calculation of a relaxed PmUSb2 crystal, from the Alexandria database.

## Properties
The calculation puts the energy relative to the elements, uncorrected at -481.8 meV/atom. As for the distance to the lowest polymorph of the same formula: 203 meV per atom. The value obtained for the size of the total moment is 3.009 Bohr magnetons per cell. The symmetry is No. 225.

Cell lengths 5.3743, 5.3743, 5.3743 Å; angles 60.00, 60.00, 60.00 degrees
Last column: nearest neighbours and their distance in Å.
Fractional positions:
Pm (0.0000, 0.0000, 0.0000)  8 Sb 3.29
U (0.5000, 0.5000, 0.5000)  8 Sb 3.29
Sb (0.2500, 0.2500, 0.2500)  4 U 3.29, 4 Pm 3.29
Sb (0.7500, 0.7500, 0.7500)  4 U 3.29, 4 Pm 3.29

***

The following is a GGA-PBE calculation of a relaxed Pm4CS2O crystal, from the Alexandria database.

## Properties
The calculation puts the energy relative to the elements, uncorrected at -1795.4 meV/atom. The value obtained for the size of the total moment is 0.000 Bohr magnetons per cell. The symmetry is No. 10.

Cell lengths 6.5400, 3.8080, 6.8370 Å; angles 90.00, 108.72, 90.00 degrees
Last column: nearest neighbours and their distance in Å.
Fractional positions:
Pm (0.2367, 0.0000, 0.2151)  2 C 2.59, 1 O 2.60, 3 S 2.85-2.87
Pm (0.2545, 0.5000, 0.7838)  1 C 2.56, 2 O 2.62, 2 S 2.84
Pm (0.7455, 0.5000, 0.2162)  1 C 2.56, 2 O 2.62, 2 S 2.84
Pm (0.7633, 0.0000, 0.7849)  2 C 2.59, 1 O 2.60, 3 S 2.85-2.87
C (0.0000, 0.5000, 0.0000)  6 Pm 2.56-2.59
S (0.0000, 0.0000, 0.5000)  6 Pm 2.84-2.85
S (0.5000, 0.5000, 0.5000)  6 Pm 2.87-2.89
O (0.5000, 0.0000, 0.0000)  6 Pm 2.60-2.62

***

The following is a GGA-PBE calculation of a relaxed Tb5Sm2Er12 crystal, from the Alexandria database.

## Properties
As for the distance to the lowest polymorph of the same formula: 0 meV per atom. The value obtained for the size of the total moment is 0.000 Bohr magnetons per cell. The symmetry is No. 2. The calculation puts the energy of formation at 1.98 kJ per mole of atoms.

Cell lengths 6.1184, 9.3582, 10.5833 Å; angles 101.00, 95.52, 90.13 degrees
Last column: nearest neighbours and their distance in Å.
Fractional positions:
Tb (0.0000, 0.0000, 0.0000)  10 Er 3.52-3.53, 2 Tb 3.54
Tb (0.1581, 0.6318, 0.9479)  10 Er 3.51-3.54, 2 Tb 3.53-3.54
Tb (0.2626, 0.0526, 0.5793)  2 Tb 3.53-3.54, 8 Er 3.53-3.54, 2 Sm 3.54
Tb (0.7374, 0.9474, 0.4207)  2 Tb 3.53-3.54, 8 Er 3.53-3.54, 2 Sm 3.54
Tb (0.8419, 0.3682, 0.0521)  10 Er 3.51-3.54, 2 Tb 3.53-3.54
Sm (0.4206, 0.6842, 0.5264)  9 Er 3.53-3.55, 2 Tb 3.54, 1 Sm 3.54
Sm (0.5794, 0.3158, 0.4736)  9 Er 3.53-3.55, 2 Tb 3.54, 1 Sm 3.54
Er (0.0530, 0.2104, 0.3150)  4 Tb 3.52-3.54, 6 Er 3.53-3.54, 2 Sm 3.53-3.54
Er (0.1046, 0.4210, 0.6325)  2 Tb 3.52-3.54, 3 Sm 3.53-3.54, 7 Er 3.53-3.55
Er (0.2107, 0.8423, 0.2622)  5 Tb 3.51-3.54, 6 Er 3.53-3.54, 1 Sm 3.54
Er (0.3158, 0.2631, 0.8954)  7 Er 3.51-3.54, 5 Tb 3.52-3.54
Er (0.3685, 0.4740, 0.2093)  7 Er 3.51-3.54, 3 Tb 3.52-3.53, 2 Sm 3.54-3.55
Er (0.4739, 0.8949, 0.8431)  7 Er 3.51-3.54, 4 Tb 3.52-3.54, 1 Sm 3.54
Er (0.5261, 0.1051, 0.1569)  7 Er 3.51-3.54, 4 Tb 3.52-3.54, 1 Sm 3.54
Er (0.6315, 0.5260, 0.7907)  7 Er 3.51-3.54, 3 Tb 3.52-3.53, 2 Sm 3.54-3.55
Er (0.6842, 0.7369, 0.1046)  7 Er 3.51-3.54, 5 Tb 3.52-3.54
Er (0.7893, 0.1577, 0.7378)  5 Tb 3.51-3.54, 6 Er 3.53-3.54, 1 Sm 3.54
Er (0.8954, 0.5790, 0.3675)  2 Tb 3.52-3.54, 3 Sm 3.53-3.54, 7 Er 3.53-3.55
Er (0.9470, 0.7896, 0.6850)  4 Tb 3.52-3.54, 6 Er 3.53-3.54, 2 Sm 3.53-3.54

***

The following is a GGA-PBE calculation of a relaxed GeAsBr2 crystal, from the Alexandria database.

## Properties
The calculation puts the energy relative to the elements, uncorrected at 322.3 meV/atom. As for the distance to the lowest polymorph of the same formula: 148 meV per atom. The value obtained for the size of the total moment is 0.000 Bohr magnetons per cell. The symmetry is No. 166.

Cell lengths 10.0608, 10.0608, 10.0608 Å; angles 19.46, 19.46, 19.46 degrees
Last column: nearest neighbours and their distance in Å.
Fractional positions:
Ge (0.0000, 0.0000, 0.0000)  2 Br 2.70
As (0.5000, 0.5000, 0.5000)  6 Br 2.97
Br (0.0913, 0.0913, 0.0913)  1 Ge 2.70, 3 As 2.97
Br (0.9087, 0.9087, 0.9087)  1 Ge 2.70, 3 As 2.97